This record from the Alexandria database describes an optimized crystal structure of NdRuCl. The functional is PBE-GGA.

```
data_NdRuCl
_cell_length_a 4.2061
_cell_length_b 4.2046
_cell_length_c 11.2131
_cell_angle_alpha 79.35
_cell_angle_beta 79.19
_cell_angle_gamma 59.99
_space_group_name_H-M_alt 'P 1'
_space_group_IT_number 1
_space_group_name_Hall 'P 1'
loop_
_atom_site_label
_atom_site_type_symbol
_atom_site_fract_x
_atom_site_fract_y
_atom_site_fract_z
Nd1 Nd 0.0387 0.7279 0.1948
Nd2 Nd 0.1668 0.8498 0.8166
Ru1 Ru 0.4359 0.1225 0.0058
Ru2 Ru 0.7693 0.4557 0.0057
Cl1 Cl 0.5524 0.2325 0.6627
Cl2 Cl 0.3203 0.0104 0.3490
```

Uncorrected formation energy   -1085 meV/atom
Space-group type   Cm
Energy above the lowest structure with this stoichiometry   12 meV/atom
M_tot   0.00 μB per formula unit